This record from the Alexandria database describes a relaxed K2RuO5 crystal. The functional is PBE.

Geometry as extended XYZ:
```
16
Lattice="6.3367 0.0000 0.0000 0.0000 6.3367 0.0000 0.0000 0.0000 7.5780" Properties=species:S:1:pos:R:3 pbc="T T T"
K 0.0000 3.1683 0.0000
K 0.0000 3.1683 3.7890
K 3.1683 0.0000 0.0000
K 3.1683 0.0000 3.7890
Ru 0.0000 0.0000 2.0969
Ru 3.1683 3.1683 5.8858
O 0.0000 0.0000 3.8390
O 1.2463 1.2463 1.6249
O 1.2463 5.0904 1.6249
O 1.9220 1.9220 5.4139
O 1.9220 4.4146 5.4139
O 3.1683 3.1683 0.0500
O 4.4146 1.9220 5.4139
O 4.4146 4.4146 5.4139
O 5.0904 1.2463 1.6249
O 5.0904 5.0904 1.6249
```

energy above the lowest structure with this stoichiometry	0.227	eV/f.u.
magnetization	0.00	μB/cell
formation energy (no corrections)	-1083	meV/atom
crystal system	tetragonal